YHfTa2Bi at its PBEsol-relaxed geometry, computed with SCAN.

```
YHfTa2Bi
1.0
5.114 0.000 0.000
0.000 5.114 0.000
0.000 0.000 5.386
Y Hf Bi Ta
1 1 1 2
Direct
0.000 0.000 0.500 Y
0.500 0.500 0.500 Hf
0.000 0.000 0.000 Bi
0.000 0.500 0.000 Ta
0.500 0.000 0.000 Ta
```

## Properties
E ... -58.76 eV per atom
Energy of formation ... 1.688 eV/atom
Space-group type ... P4/mmm, No. 123